1.
Density functional theory data (PBE) for a relaxed structure of Rb2HgWSe4.

* M_tot: 0.0 Bohr magnetons per cell
* raw total energy: -4.2857 eV per atom

abc: 8.000 7.494 13.170
angles: 80.67 72.32 57.74
Atoms (fractional coordinates):
Rb 0.185 0.000 0.629
Rb 0.815 0.000 0.371
Rb 0.565 0.500 0.871
Rb 0.935 0.500 0.129
Hg 0.750 0.500 0.500
Hg 0.000 0.000 0.000
W 0.250 0.500 0.500
W 0.500 0.000 0.000
Se 0.374 0.794 0.107
Se 0.275 0.206 0.893
Se 0.833 0.794 0.893
Se 0.519 0.206 0.107
Se 0.376 0.706 0.393
Se 0.475 0.294 0.607
Se 0.917 0.706 0.607
Se 0.231 0.294 0.393

---

2.
Density functional theory data (PBE) for a relaxed structure of SrZrZn2.

* energy of formation from the pure elements: 0.09 eV per atom
* M_tot: 0.0 Bohr magnetons per cell
* N(E_F): 4.68 states/eV/cell

abc: 3.303 3.303 8.598
angles: 90.00 90.00 90.00
Atoms (fractional coordinates):
Sr 0.500 0.500 0.781
Zn 0.000 0.000 0.062
Zn 0.500 0.500 0.229
Zr 0.000 0.000 0.427

---

3.
Density functional theory data (PBE) for a relaxed structure of MgPHPd2.

* M_tot: 0.8 Bohr magnetons per cell
* raw total energy: -2.9183 eV per atom
* N(E_F): 4.95 states/eV/cell

abc: 4.799 4.591 4.799
angles: 90.00 90.00 90.00
Last column: magnetic moment on the atom in μB.
Atoms (fractional coordinates):
P 0.000 0.500 0.000  0.06
Mg 0.000 0.000 0.000  0.00
Pd 0.000 0.000 0.500  0.03
Pd 0.500 0.000 0.000  0.05
H 0.500 0.500 0.500  0.26